No. 1
# Na2ErTmSe4 PBE optimized geometry
data_Na2ErTmSe4
_chemical_formula_sum 'Na2 Er1 Tm1 Se4'
_cell_length_a 7.1080
_cell_length_b 4.1043
_cell_length_c 7.3911
_cell_angle_alpha 90.00
_cell_angle_beta 108.68
_cell_angle_gamma 90.00
_space_group_name_H-M_alt 'P 1 2/m 1'
_space_group_IT_number 10
_space_group_name_Hall '-P 2y'
loop_
_atom_site_label
_atom_site_type_symbol
_atom_site_fract_x
_atom_site_fract_y
_atom_site_fract_z
Na1 Na 0.0000 0.0000 0.0000
Na2 Na 0.5000 0.5000 0.0000
Er1 Er 0.0000 0.5000 0.5000
Tm1 Tm 0.5000 0.0000 0.5000
Se1 Se 0.2433 0.0000 0.7274
Se2 Se 0.2587 0.5000 0.2731
# E_form (uncorrected): -1.7022 eV per atom

---

No. 2
# Na3ErTm3Se8 PBE optimized geometry
data_Na3ErTm3Se8
_chemical_formula_sum 'Na9 Er3 Tm9 Se24'
_cell_length_a 8.1346
_cell_length_b 8.1346
_cell_length_c 21.1994
_cell_angle_alpha 90.00
_cell_angle_beta 90.00
_cell_angle_gamma 120.00
_space_group_name_H-M_alt 'R -3 m'
_space_group_IT_number 166
_space_group_name_Hall '-R 3 2"'
loop_
_atom_site_label
_atom_site_type_symbol
_atom_site_fract_x
_atom_site_fract_y
_atom_site_fract_z
Na1 Na 0.0000 0.5000 0.0000
Er1 Er 0.0000 0.0000 0.5000
Tm1 Tm 0.0000 0.5000 0.5000
Se1 Se 0.0000 0.0000 0.2426
Se2 Se 0.0022 0.5011 0.7582
# E_form (uncorrected): -1.6205 eV per atom

---

No. 3
# NaErTm2Se4 PBE optimized geometry
data_NaErTm2Se4
_chemical_formula_sum 'Na1 Er1 Tm2 Se4'
_cell_length_a 7.0468
_cell_length_b 4.0201
_cell_length_c 7.0473
_cell_angle_alpha 90.00
_cell_angle_beta 108.90
_cell_angle_gamma 90.00
_space_group_name_H-M_alt 'P 1 2/m 1'
_space_group_IT_number 10
_space_group_name_Hall '-P 2y'
loop_
_atom_site_label
_atom_site_type_symbol
_atom_site_fract_x
_atom_site_fract_y
_atom_site_fract_z
Na1 Na 0.0000 0.0000 0.0000
Er1 Er 0.5000 0.5000 0.0000
Tm1 Tm 0.0000 0.5000 0.5000
Tm2 Tm 0.5000 0.0000 0.5000
Se1 Se 0.2497 0.0000 0.7477
Se2 Se 0.2551 0.5000 0.2563
# E_form (uncorrected): -1.6859 eV per atom

---

No. 4
# NaErTm4Se8 PBE optimized geometry
data_NaErTm4Se8
_chemical_formula_sum 'Na3 Er3 Tm12 Se24'
_cell_length_a 8.3599
_cell_length_b 8.3599
_cell_length_c 20.5221
_cell_angle_alpha 90.00
_cell_angle_beta 90.00
_cell_angle_gamma 120.00
_space_group_name_H-M_alt 'R 3 m'
_space_group_IT_number 160
_space_group_name_Hall 'R 3 -2"'
loop_
_atom_site_label
_atom_site_type_symbol
_atom_site_fract_x
_atom_site_fract_y
_atom_site_fract_z
Na1 Na 0.0000 0.0000 0.0000
Er1 Er 0.0000 0.0000 0.6305
Tm1 Tm 0.0000 0.0000 0.2506
Tm2 Tm 0.1735 0.3469 0.4571
Se1 Se 0.0000 0.0000 0.3836
Se2 Se 0.0000 0.0000 0.8652
Se3 Se 0.0262 0.5131 0.3791
Se4 Se 0.1772 0.3544 0.2057
# E_form (uncorrected): -1.7550 eV per atom

---

No. 5
# NaEr2Tm3Se6 PBE optimized geometry
data_NaEr2Tm3Se6
_chemical_formula_sum 'Na2 Er4 Tm6 Se12'
_cell_length_a 17.6664
_cell_length_b 4.0258
_cell_length_c 8.1363
_cell_angle_alpha 90.00
_cell_angle_beta 103.48
_cell_angle_gamma 90.00
_space_group_name_H-M_alt 'C 1 2/m 1'
_space_group_IT_number 12
_space_group_name_Hall '-C 2y'
loop_
_atom_site_label
_atom_site_type_symbol
_atom_site_fract_x
_atom_site_fract_y
_atom_site_fract_z
Na1 Na 0.0000 0.0000 0.0000
Er1 Er 0.1699 0.5000 0.3435
Tm1 Tm 0.0000 0.0000 0.5000
Tm2 Tm 0.1644 0.5000 0.8253
Se1 Se 0.0017 0.5000 0.2550
Se2 Se 0.1644 0.0000 0.5852
Se3 Se 0.1691 0.0000 0.0825
# E_form (uncorrected): -1.6880 eV per atom

---

No. 6
# NaEr2TmSe4 PBE optimized geometry
data_NaEr2TmSe4
_chemical_formula_sum 'Na1 Er2 Tm1 Se4'
_cell_length_a 7.0522
_cell_length_b 4.0270
_cell_length_c 7.0531
_cell_angle_alpha 90.00
_cell_angle_beta 108.91
_cell_angle_gamma 90.00
_space_group_name_H-M_alt 'P 1 2/m 1'
_space_group_IT_number 10
_space_group_name_Hall '-P 2y'
loop_
_atom_site_label
_atom_site_type_symbol
_atom_site_fract_x
_atom_site_fract_y
_atom_site_fract_z
Na1 Na 0.0000 0.0000 0.0000
Er1 Er 0.5000 0.0000 0.5000
Er2 Er 0.5000 0.5000 0.0000
Tm1 Tm 0.0000 0.5000 0.5000
Se1 Se 0.2491 0.0000 0.7484
Se2 Se 0.2539 0.5000 0.2552
# E_form (uncorrected): -1.6901 eV per atom

---

No. 7
# Na3ErU2Se6 PBE optimized geometry
data_Na3ErU2Se6
_chemical_formula_sum 'Na6 Er2 U4 Se12'
_cell_length_a 7.1550
_cell_length_b 12.3936
_cell_length_c 7.4512
_cell_angle_alpha 90.00
_cell_angle_beta 108.67
_cell_angle_gamma 90.00
_space_group_name_H-M_alt 'C 1 2/m 1'
_space_group_IT_number 12
_space_group_name_Hall '-C 2y'
loop_
_atom_site_label
_atom_site_type_symbol
_atom_site_fract_x
_atom_site_fract_y
_atom_site_fract_z
Na1 Na 0.0000 0.0000 0.0000
Na2 Na 0.0000 0.3335 0.0000
Er1 Er 0.0000 0.5000 0.5000
U1 U 0.0000 0.1668 0.5000
Se1 Se 0.2423 0.3353 0.7326
Se2 Se 0.2478 0.0000 0.7321
# E_form (uncorrected): -1.3380 eV per atom

---

No. 8
# Na2ErUSe4 PBE optimized geometry
data_Na2ErUSe4
_chemical_formula_sum 'Na2 Er1 U1 Se4'
_cell_length_a 7.1683
_cell_length_b 4.1272
_cell_length_c 7.4309
_cell_angle_alpha 90.00
_cell_angle_beta 108.73
_cell_angle_gamma 90.00
_space_group_name_H-M_alt 'P 1 2/m 1'
_space_group_IT_number 10
_space_group_name_Hall '-P 2y'
loop_
_atom_site_label
_atom_site_type_symbol
_atom_site_fract_x
_atom_site_fract_y
_atom_site_fract_z
Na1 Na 0.0000 0.0000 0.0000
Na2 Na 0.5000 0.5000 0.0000
Er1 Er 0.0000 0.5000 0.5000
U1 U 0.5000 0.0000 0.5000
Se1 Se 0.2394 0.0000 0.7300
Se2 Se 0.2514 0.5000 0.2675
# E_form (uncorrected): -1.4197 eV per atom

---

No. 9
# Na2Er2USe6 PBE optimized geometry
data_Na2Er2USe6
_chemical_formula_sum 'Na4 Er4 U2 Se12'
_cell_length_a 7.1400
_cell_length_b 12.3307
_cell_length_c 7.4505
_cell_angle_alpha 90.00
_cell_angle_beta 108.62
_cell_angle_gamma 90.00
_space_group_name_H-M_alt 'C 1 2/m 1'
_space_group_IT_number 12
_space_group_name_Hall '-C 2y'
loop_
_atom_site_label
_atom_site_type_symbol
_atom_site_fract_x
_atom_site_fract_y
_atom_site_fract_z
Na1 Na 0.0000 0.1678 0.0000
Er1 Er 0.0000 0.3335 0.5000
U1 U 0.0000 0.0000 0.5000
Se1 Se 0.2403 0.1667 0.7243
Se2 Se 0.2442 0.5000 0.7234
# E_form (uncorrected): -1.5310 eV per atom

---

No. 10
# NaErUSe4 PBE optimized geometry
data_NaErUSe4
_chemical_formula_sum 'Na4 Er4 U4 Se16'
_cell_length_a 8.3913
_cell_length_b 8.5974
_cell_length_c 11.8980
_cell_angle_alpha 90.00
_cell_angle_beta 90.00
_cell_angle_gamma 90.00
_space_group_name_H-M_alt 'I m m a'
_space_group_IT_number 74
_space_group_name_Hall '-I 2b 2'
loop_
_atom_site_label
_atom_site_type_symbol
_atom_site_fract_x
_atom_site_fract_y
_atom_site_fract_z
Na1 Na 0.0000 0.2500 0.1320
Er1 Er 0.2500 0.2500 0.7500
U1 U 0.0000 0.0000 0.5000
Se1 Se 0.0000 0.0255 0.7375
Se2 Se 0.2249 0.2500 0.5098
# E_form (uncorrected): -1.4268 eV per atom

---

No. 11
# Na3Er3USe8 PBE optimized geometry
data_Na3Er3USe8
_chemical_formula_sum 'Na9 Er9 U3 Se24'
_cell_length_a 8.2279
_cell_length_b 8.2279
_cell_length_c 21.1264
_cell_angle_alpha 90.00
_cell_angle_beta 90.00
_cell_angle_gamma 120.00
_space_group_name_H-M_alt 'R -3 m'
_space_group_IT_number 166
_space_group_name_Hall '-R 3 2"'
loop_
_atom_site_label
_atom_site_type_symbol
_atom_site_fract_x
_atom_site_fract_y
_atom_site_fract_z
Na1 Na 0.0000 0.5000 0.0000
Er1 Er 0.0000 0.5000 0.5000
U1 U 0.0000 0.0000 0.5000
Se1 Se 0.0000 0.0000 0.2426
Se2 Se 0.0002 0.5001 0.2413
# E_form (uncorrected): -1.5767 eV per atom

---

No. 12
# Na3ErU3Se8 PBE optimized geometry
data_Na3ErU3Se8
_chemical_formula_sum 'Na9 Er3 U9 Se24'
_cell_length_a 8.2595
_cell_length_b 8.2595
_cell_length_c 21.2546
_cell_angle_alpha 90.00
_cell_angle_beta 90.00
_cell_angle_gamma 120.00
_space_group_name_H-M_alt 'R -3 m'
_space_group_IT_number 166
_space_group_name_Hall '-R 3 2"'
loop_
_atom_site_label
_atom_site_type_symbol
_atom_site_fract_x
_atom_site_fract_y
_atom_site_fract_z
Na1 Na 0.0000 0.5000 0.0000
Er1 Er 0.0000 0.0000 0.5000
U1 U 0.0000 0.5000 0.5000
Se1 Se 0.0000 0.0000 0.2446
Se2 Se 0.0018 0.5009 0.2423
# E_form (uncorrected): -1.3155 eV per atom

---

No. 13
# Na4Er3VSe8 PBE optimized geometry
data_Na4Er3VSe8
_chemical_formula_sum 'Na12 Er9 V3 Se24'
_cell_length_a 8.0516
_cell_length_b 8.0516
_cell_length_c 21.0137
_cell_angle_alpha 90.00
_cell_angle_beta 90.00
_cell_angle_gamma 120.00
_space_group_name_H-M_alt 'R -3 m'
_space_group_IT_number 166
_space_group_name_Hall '-R 3 2"'
loop_
_atom_site_label
_atom_site_type_symbol
_atom_site_fract_x
_atom_site_fract_y
_atom_site_fract_z
Na1 Na 0.0000 0.0000 0.0000
Na2 Na 0.0000 0.5000 0.0000
Er1 Er 0.0000 0.5000 0.5000
V1 V 0.0000 0.0000 0.5000
Se1 Se 0.0000 0.0000 0.2436
Se2 Se 0.0185 0.5093 0.2399
# E_form (uncorrected): -1.4610 eV per atom

---

No. 14
# Na3Er3VSe8 PBE optimized geometry
data_Na3Er3VSe8
_chemical_formula_sum 'Na9 Er9 V3 Se24'
_cell_length_a 7.9922
_cell_length_b 7.9922
_cell_length_c 21.3853
_cell_angle_alpha 90.00
_cell_angle_beta 90.00
_cell_angle_gamma 120.00
_space_group_name_H-M_alt 'R -3 m'
_space_group_IT_number 166
_space_group_name_Hall '-R 3 2"'
loop_
_atom_site_label
_atom_site_type_symbol
_atom_site_fract_x
_atom_site_fract_y
_atom_site_fract_z
Na1 Na 0.0000 0.5000 0.0000
Er1 Er 0.0000 0.5000 0.5000
V1 V 0.0000 0.0000 0.5000
Se1 Se 0.0000 0.0000 0.2434
Se2 Se 0.0267 0.5133 0.2373
# E_form (uncorrected): -1.4262 eV per atom

---

No. 15
# NaYEr2Se4 PBE optimized geometry
data_NaYEr2Se4
_chemical_formula_sum 'Na1 Y1 Er2 Se4'
_cell_length_a 7.0923
_cell_length_b 4.0500
_cell_length_c 7.0940
_cell_angle_alpha 90.00
_cell_angle_beta 108.95
_cell_angle_gamma 90.00
_space_group_name_H-M_alt 'P 1 2/m 1'
_space_group_IT_number 10
_space_group_name_Hall '-P 2y'
loop_
_atom_site_label
_atom_site_type_symbol
_atom_site_fract_x
_atom_site_fract_y
_atom_site_fract_z
Na1 Na 0.0000 0.0000 0.0000
Y1 Y 0.5000 0.5000 0.0000
Er1 Er 0.0000 0.5000 0.5000
Er2 Er 0.5000 0.0000 0.5000
Se1 Se 0.2478 0.0000 0.7460
Se2 Se 0.2542 0.5000 0.2572
# E_form (uncorrected): -1.7166 eV per atom

---

No. 16
# Na4Y3ErSe8 PBE optimized geometry
data_Na4Y3ErSe8
_chemical_formula_sum 'Na12 Y9 Er3 Se24'
_cell_length_a 8.2797
_cell_length_b 8.2797
_cell_length_c 21.0282
_cell_angle_alpha 90.00
_cell_angle_beta 90.00
_cell_angle_gamma 120.00
_space_group_name_H-M_alt 'R -3 m'
_space_group_IT_number 166
_space_group_name_Hall '-R 3 2"'
loop_
_atom_site_label
_atom_site_type_symbol
_atom_site_fract_x
_atom_site_fract_y
_atom_site_fract_z
Na1 Na 0.0000 0.0000 0.0000
Na2 Na 0.0000 0.5000 0.0000
Y1 Y 0.0000 0.5000 0.5000
Er1 Er 0.0000 0.0000 0.5000
Se1 Se 0.0000 0.0000 0.2434
Se2 Se 0.0022 0.5011 0.2430
# E_form (uncorrected): -1.7128 eV per atom

---

No. 17
# Na3YEr3Se8 PBE optimized geometry
data_Na3YEr3Se8
_chemical_formula_sum 'Na9 Y3 Er9 Se24'
_cell_length_a 8.1839
_cell_length_b 8.1839
_cell_length_c 21.1668
_cell_angle_alpha 90.00
_cell_angle_beta 90.00
_cell_angle_gamma 120.00
_space_group_name_H-M_alt 'R -3 m'
_space_group_IT_number 166
_space_group_name_Hall '-R 3 2"'
loop_
_atom_site_label
_atom_site_type_symbol
_atom_site_fract_x
_atom_site_fract_y
_atom_site_fract_z
Na1 Na 0.0000 0.5000 0.0000
Y1 Y 0.0000 0.0000 0.5000
Er1 Er 0.0000 0.5000 0.5000
Se1 Se 0.0000 0.0000 0.2429
Se2 Se 0.0034 0.5017 0.7577
# E_form (uncorrected): -1.6241 eV per atom

---

No. 18
# NaY2Er3Se6 PBE optimized geometry
data_NaY2Er3Se6
_chemical_formula_sum 'Na2 Y4 Er6 Se12'
_cell_length_a 17.8030
_cell_length_b 4.0564
_cell_length_c 8.1960
_cell_angle_alpha 90.00
_cell_angle_beta 103.49
_cell_angle_gamma 90.00
_space_group_name_H-M_alt 'C 1 2/m 1'
_space_group_IT_number 12
_space_group_name_Hall '-C 2y'
loop_
_atom_site_label
_atom_site_type_symbol
_atom_site_fract_x
_atom_site_fract_y
_atom_site_fract_z
Na1 Na 0.0000 0.0000 0.0000
Y1 Y 0.1701 0.5000 0.3435
Er1 Er 0.0000 0.0000 0.5000
Er2 Er 0.1651 0.5000 0.8262
Se1 Se 0.0007 0.5000 0.2548
Se2 Se 0.1637 0.0000 0.5867
Se3 Se 0.1687 0.0000 0.0804
# E_form (uncorrected): -1.7277 eV per atom

---

No. 19
# NaY3Er3Se8 PBE optimized geometry
data_NaY3Er3Se8
_chemical_formula_sum 'Na3 Y9 Er9 Se24'
_cell_length_a 8.0997
_cell_length_b 8.0997
_cell_length_c 19.8642
_cell_angle_alpha 90.00
_cell_angle_beta 90.00
_cell_angle_gamma 120.00
_space_group_name_H-M_alt 'R -3 m'
_space_group_IT_number 166
_space_group_name_Hall '-R 3 2"'
loop_
_atom_site_label
_atom_site_type_symbol
_atom_site_fract_x
_atom_site_fract_y
_atom_site_fract_z
Na1 Na 0.0000 0.0000 0.0000
Y1 Y 0.0000 0.5000 0.5000
Er1 Er 0.0000 0.5000 0.0000
Se1 Se 0.0000 0.0000 0.2513
Se2 Se 0.0085 0.5042 0.2493
# E_form (uncorrected): -1.7686 eV per atom

---

No. 20
# Na4YEr3Se8 PBE optimized geometry
data_Na4YEr3Se8
_chemical_formula_sum 'Na12 Y3 Er9 Se24'
_cell_length_a 8.2435
_cell_length_b 8.2435
_cell_length_c 21.0148
_cell_angle_alpha 90.00
_cell_angle_beta 90.00
_cell_angle_gamma 120.00
_space_group_name_H-M_alt 'R -3 m'
_space_group_IT_number 166
_space_group_name_Hall '-R 3 2"'
loop_
_atom_site_label
_atom_site_type_symbol
_atom_site_fract_x
_atom_site_fract_y
_atom_site_fract_z
Na1 Na 0.0000 0.0000 0.0000
Na2 Na 0.0000 0.5000 0.0000
Y1 Y 0.0000 0.0000 0.5000
Er1 Er 0.0000 0.5000 0.5000
Se1 Se 0.0000 0.0000 0.2425
Se2 Se 0.0020 0.5010 0.7572
# E_form (uncorrected): -1.7070 eV per atom

---

Here are the calculated spin magnetization numbers, same order: 0.0000, 0.0000, 0.0000, 0.0000, 0.0000, 0.0000, 0.5008, 0.3756, 0.1818, 0.2857, 0.1333, 0.5333, 0.1250, 0.0664, 0.0000, 0.0000, 0.0000, 0.0000, 0.0000, 0.0000 (μB/atom).
Here are the calculated mass density numbers, same order: 5675, 5637, 7420, 6007, 7897, 7381, 6293, 6118, 5836, 5758, 5794, 6276, 5389, 5278, 6568, 4619, 5239, 6788, 6282, 5294 (kg/m³).